## TiS2I2 (PBE)

Data for a geometry-optimized TiS2I2 structure.

Results
symmetry = C2/m (12)
E_form (uncorrected) = -0.75 eV/atom

Lattice parameters (Å, degrees): 7.1675 7.9761 6.9720 81.66 59.07 73.62
Closest atoms and distances in Å follow each position.
Fractional positions:
Ti (0.1325, 0.5000, 0.7351)  4 S 2.46-2.50
Ti (0.8675, 0.5000, 0.2649)  4 S 2.46-2.50
S (0.0955, 0.2469, 0.0000)  1 S 2.04
S (0.9045, 0.7531, 0.0000)  1 S 2.04
S (0.7280, 0.5924, 0.0000)  1 S 2.04
S (0.2720, 0.4076, 0.0000)  1 S 2.04
I (0.9466, 0.2827, 0.5923)  2 Ti 2.86-2.99
I (0.4612, 0.7173, 0.5923)  2 Ti 2.86-2.99
I (0.0534, 0.7173, 0.4077)  2 Ti 2.86-2.99
I (0.5388, 0.2827, 0.4077)  2 Ti 2.86-2.99



## P2Pt (PBE)

Data for a geometry-optimized P2Pt structure.

Results
Fermi-level density of states = 0.903 states/eV/f.u.
symmetry = I4_1/amd (141)
ΔH_f (0 K) = 9.8 kJ/mol of atoms

Lattice parameters (Å, degrees): 20.3645 20.3645 20.3645 171.25 171.25 12.38
Closest atoms and distances in Å follow each position.
Fractional positions:
P (0.2621, 0.2621, 0.0000)  4 P 2.40
P (0.7379, 0.7379, 0.0000)  4 P 2.40
P (0.0121, 0.5121, 0.5000)  4 P 2.40
P (0.4879, 0.9879, 0.5000)  4 P 2.40
P (0.4042, 0.4042, 0.0000)  4 Pt 2.47
P (0.5958, 0.5958, 0.0000)  4 Pt 2.47
P (0.1542, 0.6542, 0.5000)  4 Pt 2.47
P (0.3458, 0.8458, 0.5000)  4 Pt 2.47
Pt (0.0678, 0.0678, 0.0000)  6 P 2.47-2.74
Pt (0.9322, 0.9322, 0.0000)  6 P 2.47-2.74
Pt (0.8178, 0.3178, 0.5000)  6 P 2.47-2.74
Pt (0.6822, 0.1822, 0.5000)  6 P 2.47-2.74



## ZnNiTe4 (PBE)

Data for a geometry-optimized ZnNiTe4 structure.

Results
Fermi-level density of states = 12.638 states/eV/f.u.
symmetry = F-43m (216)
E_form (uncorrected) = 0.84 eV/atom

Lattice parameters (Å, degrees): 6.2969 6.2969 6.2969 60.00 60.00 60.00
Closest atoms and distances in Å follow each position.
Fractional positions:
Zn (0.7500, 0.7500, 0.7500)  12 Te 3.69, 4 Ni 3.86
Ni (0.0000, 0.0000, 0.0000)  12 Te 3.69, 4 Zn 3.86
Te (0.8749, 0.3750, 0.3750)  6 Te 3.15
Te (0.3750, 0.3750, 0.8749)  6 Te 3.15
Te (0.3750, 0.8749, 0.3750)  6 Te 3.15
Te (0.3750, 0.3750, 0.3750)  6 Te 3.15



## LiLaSm2 (PBE)

Data for a geometry-optimized LiLaSm2 structure.

Results
Fermi-level density of states = 7.217 states/eV/f.u.
symmetry = Fm-3m (225)
ΔH_f (0 K) = 21.7 kJ/mol of atoms

Lattice parameters (Å, degrees): 5.6058 5.6058 5.6058 60.00 60.00 60.00
Closest atoms and distances in Å follow each position.
Fractional positions:
Li (0.5000, 0.5000, 0.5000)  8 Sm 3.43
Sm (0.2500, 0.2500, 0.2500)  4 La 3.43, 4 Li 3.43
Sm (0.7500, 0.7500, 0.7500)  4 Li 3.43, 4 La 3.43
La (0.0000, 0.0000, 0.0000)  8 Sm 3.43



Ordered V results: 328.0; 195.2; 176.5; 124.6; unit Å³ per cell.